Computed, not measured: KRu3I at its PBEsol-relaxed geometry at the SCAN level of DFT.

Space-group type: Pm-3m (221)
DOS at the Fermi energy, states/eV/atom: 1.076
E_form (uncorrected), kcal/mol of atoms: 67.7
Calculated density, g/cm³: 7.293

Cell and atoms, written as POSCAR:
```
KRu3I
1.0
4.745 0.000 0.000
0.000 4.745 0.000
0.000 0.000 4.745
K Ru I
1 3 1
direct
0.000 0.000 0.000
0.000 0.000 0.500
0.000 0.500 0.000
0.500 0.000 0.000
0.500 0.500 0.500
```